GGA+U BaEuDyVO6, optimized geometry; final energy = -8.131 eV/atom; V = 14.149 Å³ per atom; Fermi-level density of states = 16.78 states/eV per cell
1.0
-5.463 -1.029 -1.819
-4.478 2.892 2.408
-2.865 4.054 -3.093
Ba O Dy V Eu
1 6 1 1 1
Cartesian
-9.604 4.438 -1.878
-4.765 3.466 -2.104
-6.838 4.805 -0.989
-7.294 2.990 -2.946
-5.967 1.113 -1.515
-8.040 2.452 -0.400
-5.511 2.928 0.442
0.000 0.000 0.000
-6.403 2.959 -1.252
-3.201 1.479 -0.626